Here is a relaxed structure of HoTiGa4 from the Alexandria database. Energies are from PBE-GGA.

Computed properties:
Total magnetic moment in μB per formula unit: 0.0
Energy above the most stable polymorph in this dataset in kcal/mol of atoms: 0.00
ΔH_f (0 K) in kJ per mole of atoms: -44
Symmetry: Cmcm

POSCAR file:
```
HoTiGa4
1.0
4.069 0.000 0.000
0.000 6.229 0.000
-2.034 0.000 8.789
Ga Ho Ti
8 2 2
Direct
0.338 0.040 0.677 Ga
0.662 0.540 0.323 Ga
0.500 0.000 0.000 Ga
0.923 0.250 0.847 Ga
0.338 0.460 0.677 Ga
0.662 0.960 0.323 Ga
0.077 0.750 0.153 Ga
0.500 0.500 0.000 Ga
0.096 0.250 0.192 Ho
0.904 0.750 0.808 Ho
0.231 0.750 0.462 Ti
0.769 0.250 0.538 Ti
```